RbNaCa2P (PBE-GGA, relaxed); DFT total energy = -13.2 eV per cell; excess energy over the best structure of this formula in the dataset = 50 meV per atom; DFT formation energy = -144 kJ/mol of formula units; calculated density = 1.82 g/cm3; D(E_F) = 0.696 states/eV per atom; space group = P4/mmm, No. 123
1.0
5.6458 0.0000 0.0000
0.0000 5.6458 0.0000
0.0000 0.0000 6.2684
Na Ca P Rb
1 2 1 1
direct
0.0000 0.0000 0.5000
0.0000 0.5000 0.0000
0.5000 0.0000 0.0000
0.0000 0.0000 0.0000
0.5000 0.5000 0.5000

=====

Rb2NaCaP (PBE-GGA, relaxed); DFT total energy = -9.5 eV per cell; DFT formation energy = 113 kJ/mol of formula units; calculated density = 2.02 g/cm3; D(E_F) = 0.199 states/eV per atom; space group = P4/mmm, No. 123
1.0
-2.9920 -3.2707 4.7403
0.8042 -4.4235 -2.5446
5.6699 -0.7358 3.0711
P Rb Na Ca
1 2 1 1
direct
0.0000 0.5000 0.0000
0.0000 0.0000 0.5000
0.5000 0.0000 0.0000
0.0000 0.0000 0.0000
0.5000 0.5000 0.5000

=====

RbNaCa2P (PBE-GGA, relaxed); DFT total energy = -13.4 eV per cell; excess energy over the best structure of this formula in the dataset = 0 meV per atom; DFT formation energy = -168 kJ/mol of formula units; calculated density = 1.72 g/cm3; D(E_F) = 0.404 states/eV per atom; space group = P4/mmm, No. 123
1.0
5.5886 0.0000 0.0000
0.0000 5.5886 0.0000
0.0000 0.0000 6.7858
Na Ca Rb P
1 2 1 1
direct
0.5000 0.5000 0.5000
0.0000 0.5000 0.0000
0.5000 0.0000 0.0000
0.0000 0.0000 0.5000
0.0000 0.0000 0.0000

=====

Na2CaReP (PBE-GGA, relaxed); DFT total energy = -20.7 eV per cell; DFT formation energy = 175 kJ/mol of formula units; calculated density = 4.06 g/cm3; D(E_F) = 0.623 states/eV per atom; space group = P4/mmm, No. 123
1.0
5.2145 0.0000 0.0000
0.0000 4.5607 0.0000
0.0000 0.0000 5.2145
Na Re P Ca
2 1 1 1
direct
0.0000 0.0000 0.5000
0.5000 0.0000 0.0000
0.0000 0.5000 0.0000
0.0000 0.0000 0.0000
0.5000 0.5000 0.5000

=====

NaCa2PRh (PBE-GGA, relaxed); DFT total energy = -20.3 eV per cell; DFT formation energy = -211 kJ/mol of formula units; calculated density = 2.87 g/cm3; D(E_F) = 0.719 states/eV per atom; space group = P4/mmm, No. 123
1.0
5.5729 0.0000 0.0000
0.0000 5.5729 0.0000
0.0000 0.0000 4.4169
Ca Na Rh P
2 1 1 1
direct
0.5000 0.0000 0.0000
0.0000 0.5000 0.0000
0.5000 0.5000 0.5000
0.0000 0.0000 0.5000
0.0000 0.0000 0.0000

=====

NaCaP2S (PBE-GGA, relaxed); ΔE_f (raw) = 344.9 meV/atom; DFT total energy = -16.5 eV per cell; excess energy over the best structure of this formula in the dataset = 0 meV per atom; calculated density = 1.75 g/cm3; D(E_F) = 0.963 states/eV per atom; space group = P4/mmm, No. 123
1.0
-1.2752 4.6429 2.2726
-2.8989 -2.5804 3.6450
4.2232 -0.3595 3.1042
P Na Ca S
2 1 1 1
direct
0.0000 0.5000 0.0000
0.5000 0.0000 0.0000
0.5000 0.5000 0.5000
0.0000 0.0000 0.0000
0.0000 0.0000 0.5000

=====

NaCaPS2 (PBE-GGA, relaxed); ΔE_f (raw) = 104.4 meV/atom; DFT total energy = -16.5 eV per cell; excess energy over the best structure of this formula in the dataset = 105 meV per atom; calculated density = 2.23 g/cm3; D(E_F) = 0.890 states/eV per atom; space group = P4/mmm, No. 123
1.0
-4.2434 2.5510 0.4809
0.4657 -0.1585 4.9501
2.4452 4.0860 -0.0992
S Ca Na P
2 1 1 1
direct
0.5000 0.0000 0.0000
0.0000 0.5000 0.0000
0.5000 0.5000 0.5000
0.0000 0.0000 0.0000
0.0000 0.0000 0.5000

=====

NaCaPS2 (PBE-GGA, relaxed); ΔE_f (raw) = -0.1 meV/atom; DFT total energy = -17.0 eV per cell; excess energy over the best structure of this formula in the dataset = 0 meV per atom; calculated density = 1.69 g/cm3; D(E_F) = 0.880 states/eV per atom; space group = P4/mmm, No. 123
1.0
-0.2670 1.2300 5.1883
-5.2413 -1.0151 -0.0291
1.0031 -5.2164 1.2883
Ca Na S P
1 1 2 1
direct
0.0000 0.0000 0.0000
0.5000 0.5000 0.5000
0.0000 0.5000 0.0000
0.5000 0.0000 0.0000
0.0000 0.0000 0.5000